Below is a relaxed structure of Tm3TlTe, with properties calculated at the PBE level.

Calculated values
E_form (uncorrected): -0.53 eV/atom
energy above the most stable polymorph in this dataset: 26.2 kJ/mol of formula units
calculated volume: 29.87 Å³/atom
Fermi-level density of states: 0.8106 states/eV/atom

Unit cell a=14.3359 b=10.9510 c=7.6121 alpha=90.00 beta=91.33 gamma=90.00
Space group C2/c (No. 15)
Unique sites:
1 Tm 0.0911 0.2279 0.4221 [8 per cell]
2 Tm 0.1002 0.4457 0.0928 [8 per cell]
3 Tm 0.1506 0.1420 0.9559 [8 per cell]
4 Tl 0.0000 0.0000 0.2500 [4 per cell]
5 Tl 0.0000 0.3259 0.7500 [4 per cell]
6 Te 0.2505 0.0832 0.6090 [8 per cell]


Below is a relaxed structure of Tm2TlTe, with properties calculated at the PBE level.

Calculated values
E_form (uncorrected): -0.61 eV/atom
energy above the most stable polymorph in this dataset: 47.8 kJ/mol of formula units
calculated volume: 26.79 Å³/atom
Fermi-level density of states: 0.8993 states/eV/atom

Unit cell a=3.6462 b=3.6462 c=8.0589 alpha=90.00 beta=90.00 gamma=90.00
Space group P4/mmm (No. 123)
Unique sites:
1 Tm 0.0000 0.0000 0.2384 [2 per cell]
2 Tl 0.5000 0.5000 0.5000 [1 per cell]
3 Te 0.5000 0.5000 0.0000 [1 per cell]


Below is a relaxed structure of Tm4Tl2Te, with properties calculated at the PBE level.

Calculated values
E_form (uncorrected): -0.42 eV/atom
calculated volume: 28.91 Å³/atom
Fermi-level density of states: 0.7897 states/eV/atom

Unit cell a=6.4100 b=6.5122 c=9.9581 alpha=90.00 beta=103.18 gamma=90.00
Space group P2_1/m (No. 11)
Unique sites:
1 Tm 0.0177 0.2500 0.3325 [2 per cell]
2 Tm 0.1190 0.2500 0.9562 [2 per cell]
3 Tm 0.4742 0.0011 0.2305 [4 per cell]
4 Tl 0.3059 0.7500 0.9614 [2 per cell]
5 Tl 0.4207 0.7500 0.4958 [2 per cell]
6 Te 0.0981 0.2500 0.6533 [2 per cell]


Below is a relaxed structure of Tm7TlTe2, with properties calculated at the PBE level.

Calculated values
E_form (uncorrected): -0.02 eV/atom
calculated volume: 34.51 Å³/atom
Fermi-level density of states: 1.2758 states/eV/atom

Unit cell a=8.7456 b=14.6762 c=5.3770 alpha=90.00 beta=90.00 gamma=90.00
Space group Cmmm (No. 65)
Unique sites:
1 Tm 0.0000 0.0000 0.0000 [2 per cell]
2 Tm 0.0000 0.2731 0.5000 [4 per cell]
3 Tm 0.1826 0.3814 0.0000 [8 per cell]
4 Tl 0.0000 0.5000 0.5000 [2 per cell]
5 Te 0.0000 0.2007 0.0000 [4 per cell]


Below is a relaxed structure of Tm2TlTe, with properties calculated at the PBE level.

Calculated values
E_form (uncorrected): -0.73 eV/atom
energy above the most stable polymorph in this dataset: 0.0 kJ/mol of formula units
calculated volume: 28.72 Å³/atom
Fermi-level density of states: 0.4438 states/eV/atom

Unit cell a=4.1320 b=4.1320 c=23.3047 alpha=90.00 beta=90.00 gamma=120.00
Space group R-3m (No. 166, hexagonal axes)
Unique sites:
1 Tm 0.0000 0.0000 0.2503 [6 per cell]
2 Tl 0.0000 0.0000 0.5000 [3 per cell]
3 Te 0.0000 0.0000 0.0000 [3 per cell]


Below is a relaxed structure of Tm6TlTe8, with properties calculated at the PBE level.

Calculated values
E_form (uncorrected): -1.10 eV/atom
calculated volume: 38.28 Å³/atom
Fermi-level density of states: 0.5156 states/eV/atom

Unit cell a=11.9355 b=11.9355 c=13.9643 alpha=90.00 beta=90.00 gamma=120.00
Space group R-3 (No. 148, hexagonal axes)
Unique sites:
1 Tm 0.0109 0.8256 0.3882 [18 per cell]
2 Tl 0.0000 0.0000 0.0000 [3 per cell]
3 Te 0.0000 0.0000 0.2413 [6 per cell]
4 Te 0.0236 0.7195 0.5845 [18 per cell]